VASP calculation (PBE) on TlHPt3 after structural relaxation.

The value obtained for the density of states at the Fermi level is 0.31 states/eV per cell. The calculated total energy is -4.7737 eV/atom. Its total moment is 0.000 μB/cell.

It has space group Pm-3m (No. 221), with a = 4.152 Å, b = 4.152 Å, c = 4.152 Å, α = 90.00°, β = 90.00° and γ = 90.00°. The distinct sites, in fractional coordinates, are Tl at (0.000, 0.000, 0.000), H at (0.500, 0.500, 0.500) and Pt at (0.000, 0.500, 0.500).